(1)
Compound: AgHgCl2
Source: Alexandria via LeMat-Bulk
Functional: PBE
Structure: relaxed

Geometry as extended XYZ:
```
4
Lattice="1.9338 -3.3616 0.0000 1.9338 3.3616 0.0000 0.0000 0.0000 7.9857" Properties=species:S:1:pos:R:3 pbc="T T T"
Ag 0.0000 0.0000 0.0000
Hg 0.0000 0.0000 3.9928
Cl 1.9338 0.0000 1.7247
Cl 1.9338 0.0000 6.2609
```

## Properties
N(E_F) = 1.73 states/eV/cell
Energy = -0.14554 Ry/atom
Formation energy without anion corrections = -0.269 eV per atom
Excess energy over the best structure of this formula in the dataset = 0.071 eV/atom
Mass density = 6.07 g/cm³


(2)
Compound: AgHgCl3
Source: Alexandria via LeMat-Bulk
Functional: PBE
Structure: relaxed

Geometry as extended XYZ:
```
5
Lattice="5.0536 0.0000 0.0000 0.0000 5.0536 0.0000 0.0000 0.0000 5.0536" Properties=species:S:1:pos:R:3 pbc="T T T"
Ag 0.0000 0.0000 0.0000
Hg 2.5268 2.5268 2.5268
Cl 0.0000 0.0000 2.5268
Cl 0.0000 2.5268 0.0000
Cl 2.5268 0.0000 0.0000
```

## Properties
N(E_F) = 5.26 states/eV/cell
Energy = -0.14042 Ry/atom
Formation energy without anion corrections = -0.172 eV per atom
Excess energy over the best structure of this formula in the dataset = 0.337 eV/atom
Mass density = 5.34 g/cm³


(3)
Compound: AgHgCl
Source: Alexandria via LeMat-Bulk
Functional: PBE
Structure: relaxed

Geometry as extended XYZ:
```
3
Lattice="0.0000 3.0278 6.0852 2.0187 0.0000 6.0852 2.0187 3.0278 0.0000" Properties=species:S:1:pos:R:3 pbc="T T T"
Ag 0.0000 0.0000 0.0000
Hg 2.0187 3.0278 4.0358
Cl 2.0187 3.0278 7.7353
```

## Properties
Energy = -0.13754 Ry/atom
Formation energy without anion corrections = -0.205 eV per atom
Excess energy over the best structure of this formula in the dataset = 0.093 eV/atom
Mass density = 7.68 g/cm³


(4)
Compound: AgHgCl3
Source: Alexandria via LeMat-Bulk
Functional: PBE
Structure: relaxed

Geometry as extended XYZ:
```
20
Lattice="7.1842 0.0000 0.0000 0.0000 7.5607 0.0000 -2.1038 0.0000 10.2547" Properties=species:S:1:pos:R:3 pbc="T T T"
Ag 0.8657 1.3268 2.6866
Ag -0.1862 2.4535 7.8140
Ag 5.2666 5.1071 2.4408
Ag 4.2147 6.2338 7.5681
Hg 2.0747 5.5904 4.3315
Hg 1.0229 5.7506 9.4588
Hg 4.0575 1.8101 0.7959
Hg 3.0056 1.9703 5.9233
Cl -1.1263 4.8514 8.6739
Cl -0.0744 6.4896 3.5465
Cl -0.1610 0.8683 10.1957
Cl 0.8909 2.9121 5.0683
Cl 2.8708 4.3588 1.7357
Cl 1.8189 6.9822 6.8631
Cl 3.2615 0.5785 3.3916
Cl 2.2096 3.2018 8.5190
Cl 4.1895 4.6486 5.1864
Cl 5.2414 6.6924 0.0591
Cl 5.1548 1.0711 6.7083
Cl 6.2067 2.7093 1.5809
```

## Properties
Energy = -0.16518 Ry/atom
Formation energy without anion corrections = -0.509 eV per atom
Excess energy over the best structure of this formula in the dataset = 0.000 eV/atom
Mass density = 4.95 g/cm³


(5)
Compound: AgHg2Cl
Source: Alexandria via LeMat-Bulk
Functional: PBE
Structure: relaxed

Geometry as extended XYZ:
```
8
Lattice="3.9252 0.0000 0.0000 0.0000 3.9259 0.0000 -0.0042 0.0000 14.2244" Properties=species:S:1:pos:R:3 pbc="T T T"
Ag 0.9800 0.0000 1.3604
Ag 2.9410 1.9630 12.8640
Hg 0.9751 3.9151 4.2272
Hg 0.9822 3.9152 8.1377
Hg 2.9388 1.9523 6.0868
Hg 2.9459 1.9522 9.9973
Cl 0.9786 3.9244 12.8228
Cl 2.9424 1.9615 1.4017
```

## Properties
Energy = -0.11325 Ry/atom
Formation energy without anion corrections = -0.215 eV per atom
Excess energy over the best structure of this formula in the dataset = 0.000 eV/atom
Mass density = 8.25 g/cm³


(6)
Compound: Ag4HgCl6
Source: Alexandria via LeMat-Bulk
Functional: PBE
Structure: relaxed

Geometry as extended XYZ:
```
22
Lattice="6.3778 -3.8616 0.0000 6.3778 3.8616 0.0000 -4.8859 0.0000 12.5919" Properties=species:S:1:pos:R:3 pbc="T T T"
Ag 3.9348 3.8526 6.2959
Ag 0.7748 1.9559 8.5444
Ag 4.7492 1.9090 10.3530
Ag 1.4347 0.0871 12.5563
Ag 3.8777 -0.0871 6.2603
Ag 3.2178 -1.9559 2.2485
Ag 7.1922 -1.9090 4.0571
Ag 6.3778 -3.8526 0.0000
Hg 5.7673 1.9583 3.2011
Hg 3.3243 -1.9583 9.4971
Cl 2.0835 1.8955 6.3141
Cl 4.6117 1.9994 1.0906
Cl -1.1368 0.0667 8.7273
Cl 1.3062 -0.0667 2.4313
Cl 2.1193 1.9752 10.7947
Cl 5.7272 1.8808 5.5811
Cl 4.5264 -1.8955 0.0182
Cl 2.1688 -1.9994 7.3866
Cl 7.6420 0.0764 2.4033
Cl 5.1990 -0.0764 8.6993
Cl 4.5623 -1.9752 4.4987
Cl 3.2842 -1.8808 11.8771
```

## Properties
Energy = -0.18607 Ry/atom
Formation energy without anion corrections = -0.460 eV per atom
Mass density = 4.52 g/cm³


(7)
Compound: AgHg2Cl
Source: Alexandria via LeMat-Bulk
Functional: PBE
Structure: relaxed

Geometry as extended XYZ:
```
4
Lattice="1.9602 1.1317 8.1151 -1.9602 1.1317 8.1151 0.0000 -2.2634 8.1151" Properties=species:S:1:pos:R:3 pbc="T T T"
Ag 0.0000 0.0000 0.0000
Hg 0.0000 0.0000 6.2152
Hg 0.0000 0.0000 12.0807
Cl 0.0000 0.0000 17.6187
```

## Properties
Energy = -0.11276 Ry/atom
Formation energy without anion corrections = -0.209 eV per atom
Excess energy over the best structure of this formula in the dataset = 0.007 eV/atom
Mass density = 8.37 g/cm³


(8)
Compound: Ag5Hg2Cl12
Source: Alexandria via LeMat-Bulk
Functional: PBE
Structure: relaxed

Geometry as extended XYZ:
```
19
Lattice="7.2087 -3.7234 0.0000 7.2087 3.7234 0.0000 -1.7310 0.0000 9.6493" Properties=species:S:1:pos:R:3 pbc="T T T"
Ag 0.0000 0.0000 0.0000
Ag 2.7580 0.0000 4.8390
Ag 3.7069 0.0000 0.0040
Ag 8.9795 0.0000 9.6453
Ag 9.9284 0.0000 4.8103
Hg 6.3432 1.8491 4.8247
Hg 6.3432 -1.8491 4.8247
Cl 0.0694 0.0000 3.2290
Cl 3.7199 1.8626 3.4196
Cl 3.6247 1.9528 9.6486
Cl 9.0617 1.9528 0.0007
Cl 8.9665 1.8626 6.2298
Cl 5.3700 0.0000 6.3934
Cl 7.3164 0.0000 3.2559
Cl 3.7199 -1.8626 3.4196
Cl 3.6247 -1.9528 9.6486
Cl 9.0617 -1.9528 0.0007
Cl 8.9665 -1.8626 6.2298
Cl 12.6170 0.0000 6.4204
```

## Properties
N(E_F) = 7.29 states/eV/cell
Energy = -0.17432 Ry/atom
Formation energy without anion corrections = -0.423 eV per atom
Excess energy over the best structure of this formula in the dataset = 0.000 eV/atom
Mass density = 4.38 g/cm³


(9)
Compound: Ag3Hg2Cl7
Source: Alexandria via LeMat-Bulk
Functional: PBE
Structure: relaxed

Geometry as extended XYZ:
```
24
Lattice="13.3695 -3.7686 0.0000 13.3695 3.7686 0.0000 0.0000 0.0000 6.6971" Properties=species:S:1:pos:R:3 pbc="T T T"
Ag 7.6126 1.3523 3.8778
Ag 13.3695 2.4555 3.3485
Ag 7.6126 -1.3523 0.5292
Ag 19.1265 1.3523 3.8778
Ag 13.3695 -2.4555 0.0000
Ag 19.1265 -1.3523 0.5292
Hg 10.5917 1.8870 0.2166
Hg 16.1474 1.8870 0.2166
Hg 10.5917 -1.8870 3.5651
Hg 16.1474 -1.8870 3.5651
Cl 3.7597 0.9512 1.6139
Cl 7.8482 1.1241 1.3070
Cl 13.3695 2.6121 5.9043
Cl 3.7597 -0.9512 4.9624
Cl 11.4882 0.9477 2.2059
Cl 7.8482 -1.1241 4.6555
Cl 15.2508 0.9477 2.2059
Cl 11.4882 -0.9477 5.5544
Cl 18.8908 1.1241 1.3070
Cl 15.2508 -0.9477 5.5544
Cl 22.9794 0.9512 1.6139
Cl 13.3695 -2.6121 2.5558
Cl 18.8908 -1.1241 4.6555
Cl 22.9794 -0.9512 4.9624
```

## Properties
Energy = -0.17260 Ry/atom
Formation energy without anion corrections = -0.508 eV per atom
Mass density = 4.79 g/cm³


(10)
Compound: Ag4HgCl7
Source: Alexandria via LeMat-Bulk
Functional: PBE
Structure: relaxed

Geometry as extended XYZ:
```
12
Lattice="3.8634 0.0000 0.0000 1.7842 6.4036 0.0000 0.2923 2.9558 12.2016" Properties=species:S:1:pos:R:3 pbc="T T T"
Ag 0.0000 0.0000 0.0000
Ag 2.2511 6.2640 6.6554
Ag 2.2564 2.9720 8.3345
Ag 4.1509 6.2447 10.5106
Hg 3.0501 3.1324 3.3271
Cl 0.6091 1.4929 2.4165
Cl 2.1643 7.8108 9.4250
Cl 1.6292 4.7715 4.2396
Cl 2.2607 4.5068 11.1115
Cl 4.1913 7.8557 6.0497
Cl 3.7068 4.8109 0.5989
Cl 4.1465 4.7139 7.7477
```

## Properties
N(E_F) = 6.33 states/eV/cell
Energy = -0.18425 Ry/atom
Formation energy without anion corrections = -0.454 eV per atom
Mass density = 4.84 g/cm³


(11)
Compound: Ag7HgCl12
Source: Alexandria via LeMat-Bulk
Functional: PBE
Structure: relaxed

Geometry as extended XYZ:
```
20
Lattice="8.7371 5.0443 2.1913 -8.7371 5.0443 2.1913 0.0000 -10.0887 2.1913" Properties=species:S:1:pos:R:3 pbc="T T T"
Ag 0.0000 0.0000 0.0000
Ag -3.8555 -0.9546 3.1598
Ag -1.1010 -3.8163 3.4141
Ag -2.7545 2.8616 3.4141
Ag 2.7545 -2.8616 3.1598
Ag 1.1010 3.8162 3.1598
Ag 3.8555 0.9546 3.4141
Hg 0.0000 0.0000 3.2870
Cl -0.7470 -1.9917 1.6045
Cl -3.5687 -3.4469 3.4319
Cl -1.3513 1.6428 1.6045
Cl -4.7694 1.3671 3.1421
Cl 2.0983 0.3489 1.6045
Cl 1.2008 -4.8140 3.1421
Cl -1.2008 4.8140 3.4319
Cl -2.0983 -0.3489 4.9695
Cl 4.7695 -1.3671 3.4319
Cl 1.3513 -1.6428 4.9695
Cl 3.5687 3.4469 3.1421
Cl 0.7470 1.9916 4.9695
```

## Properties
N(E_F) = 12.07 states/eV/cell
Energy = -0.18486 Ry/atom
Formation energy without anion corrections = -0.394 eV per atom
Mass density = 3.96 g/cm³


(12)
Compound: AgHgCl
Source: Alexandria via LeMat-Bulk
Functional: PBE
Structure: relaxed

Geometry as extended XYZ:
```
6
Lattice="3.8635 0.0000 0.0000 0.0000 6.8833 0.0000 0.0000 0.0000 5.9185" Properties=species:S:1:pos:R:3 pbc="T T T"
Ag 0.0000 1.4409 0.0000
Ag 1.9317 5.4425 2.9592
Hg 0.0000 4.0164 4.5936
Hg 1.9317 2.8669 1.6344
Cl 0.0000 6.0535 1.2579
Cl 1.9317 0.8298 4.2172
```

## Properties
Energy = -0.14436 Ry/atom
Formation energy without anion corrections = -0.298 eV per atom
Excess energy over the best structure of this formula in the dataset = 0.000 eV/atom
Mass density = 7.26 g/cm³


(13)
Compound: AgHgCl4
Source: Alexandria via LeMat-Bulk
Functional: PBE
Structure: relaxed

Geometry as extended XYZ:
```
12
Lattice="4.1722 -8.4720 0.0000 4.1722 8.4720 0.0000 -4.1338 0.0000 4.8973" Properties=species:S:1:pos:R:3 pbc="T T T"
Ag 1.0718 5.0974 3.6730
Ag 3.1387 -5.0974 1.2243
Hg 3.1387 1.3698 1.2243
Hg 1.0718 -1.3698 3.6730
Cl -1.0550 3.4537 3.6431
Cl 0.8177 1.1284 1.3991
Cl -1.2492 -1.1284 3.8478
Cl 1.0119 -3.4537 1.1945
Cl 3.1986 3.4537 3.7028
Cl 5.4597 1.1284 1.0495
Cl 3.3928 -1.1284 3.4981
Cl 5.2655 -3.4537 1.2542
```

## Properties
N(E_F) = 4.53 states/eV/cell
Energy = -0.15914 Ry/atom
Formation energy without anion corrections = -0.409 eV per atom
Excess energy over the best structure of this formula in the dataset = 0.038 eV/atom
Mass density = 4.32 g/cm³


(14)
Compound: AgHgCl2
Source: Alexandria via LeMat-Bulk
Functional: PBE
Structure: relaxed

Geometry as extended XYZ:
```
4
Lattice="1.9095 1.1024 8.6565 -1.9095 1.1024 8.6565 0.0000 -2.2049 8.6565" Properties=species:S:1:pos:R:3 pbc="T T T"
Ag 0.0000 0.0000 0.0000
Hg 0.0000 0.0000 12.9848
Cl 0.0000 0.0000 10.2457
Cl 0.0000 0.0000 15.7238
```

## Properties
N(E_F) = 1.71 states/eV/cell
Energy = -0.14647 Ry/atom
Formation energy without anion corrections = -0.281 eV per atom
Excess energy over the best structure of this formula in the dataset = 0.059 eV/atom
Mass density = 5.76 g/cm³


(15)
Compound: AgHgCl2
Source: Alexandria via LeMat-Bulk
Functional: PBE
Structure: relaxed

Geometry as extended XYZ:
```
4
Lattice="0.0000 3.5554 3.5554 3.5554 0.0000 3.5554 3.5554 3.5554 0.0000" Properties=species:S:1:pos:R:3 pbc="T T T"
Ag 0.0000 0.0000 0.0000
Hg 3.5554 3.5554 3.5554
Cl 1.7777 1.7777 1.7777
Cl 5.3332 5.3332 5.3332
```

## Properties
N(E_F) = 2.86 states/eV/cell
Energy = -0.13546 Ry/atom
Formation energy without anion corrections = -0.131 eV per atom
Excess energy over the best structure of this formula in the dataset = 0.208 eV/atom
Mass density = 7.01 g/cm³


(16)
Compound: AgHgCl2
Source: Alexandria via LeMat-Bulk
Functional: PBE
Structure: relaxed

Geometry as extended XYZ:
```
8
Lattice="-3.1826 3.1826 6.2113 3.1826 -3.1826 6.2113 3.1826 3.1826 -6.2113" Properties=species:S:1:pos:R:3 pbc="T T T"
Ag 0.0000 0.0000 0.0000
Ag 0.0000 3.1826 3.1056
Hg 3.1826 0.0000 3.1056
Hg 0.0000 0.0000 6.2113
Cl 4.7738 1.3900 -1.5528
Cl 1.3900 1.5913 1.5528
Cl -1.5913 1.7926 4.6585
Cl 1.7926 1.5913 7.7641
```

## Properties
N(E_F) = 3.62 states/eV/cell
Energy = -0.14719 Ry/atom
Formation energy without anion corrections = -0.291 eV per atom
Excess energy over the best structure of this formula in the dataset = 0.049 eV/atom
Mass density = 5.01 g/cm³


(17)
Compound: Ag12Hg3Cl5
Source: Alexandria via LeMat-Bulk
Functional: PBE
Structure: relaxed

Geometry as extended XYZ:
```
80
Lattice="-8.0143 8.0143 8.0143 8.0143 -8.0143 8.0143 8.0143 8.0143 -8.0143" Properties=species:S:1:pos:R:3 pbc="T T T"
Ag 2.4906 -0.1138 1.2000
Ag 9.5308 5.2072 -4.1210
Ag 7.9005 -1.2000 2.4906
Ag 12.1353 -1.5165 2.8071
Ag 10.5049 0.1138 1.2000
Ag 9.5308 -2.8071 4.1210
Ag 1.2000 2.4906 -0.1138
Ag 10.8214 3.8933 -1.5165
Ag 5.2072 4.1210 -1.5165
Ag 6.8143 2.4906 0.1138
Ag -0.1138 1.2000 2.4906
Ag 4.1210 -1.5165 5.2072
Ag 7.9005 6.8143 -2.4906
Ag 4.1210 1.5165 2.8071
Ag 6.8143 -2.4906 7.9005
Ag 5.2072 -4.1210 9.5308
Ag 2.8071 4.1210 1.5165
Ag 9.2143 5.5236 0.1138
Ag 2.4906 7.9005 -1.2000
Ag 9.5308 2.8071 3.8933
Ag 4.1210 9.5308 -2.8071
Ag 7.9005 1.2000 5.5236
Ag 1.5165 2.8071 4.1210
Ag 2.4906 0.1138 6.8143
Ag 5.5236 7.9005 1.2000
Ag 6.4978 5.2072 3.8933
Ag 0.1138 6.8143 2.4906
Ag 3.8933 -1.5165 10.8214
Ag -1.5165 5.2072 4.1210
Ag 5.5236 0.1138 9.2143
Ag -1.2000 2.4906 7.9005
Ag 5.2072 3.8933 6.4978
Ag 2.8071 12.1353 -1.5165
Ag 1.2000 10.5049 0.1138
Ag 3.8933 6.4978 5.2072
Ag 0.1138 1.2000 10.5049
Ag 3.8933 9.5308 2.8071
Ag 8.1281 6.8143 5.5236
Ag 1.2000 5.5236 7.9005
Ag 2.8071 3.8933 9.5308
Ag -2.8071 4.1210 9.5308
Ag 6.8143 5.5236 8.1281
Ag -1.5165 10.8214 3.8933
Ag -2.4906 7.9005 6.8143
Ag -4.1210 9.5308 5.2072
Ag 0.1138 9.2143 5.5236
Ag -1.5165 2.8071 12.1353
Ag 5.5236 8.1281 6.8143
Hg 4.0071 2.0036 0.0000
Hg 8.0143 4.0071 -2.0036
Hg 2.0036 0.0000 4.0071
Hg 10.0179 0.0000 4.0071
Hg 0.0000 4.0071 2.0036
Hg 4.0071 -2.0036 8.0143
Hg 4.0071 10.0179 0.0000
Hg 8.0143 4.0071 6.0107
Hg -2.0036 8.0143 4.0071
Hg 6.0107 8.0143 4.0071
Hg 0.0000 4.0071 10.0179
Hg 4.0071 6.0107 8.0143
Cl 0.0000 0.0000 0.0000
Cl 4.0071 4.0071 -4.0071
Cl 4.0071 -4.0071 4.0071
Cl 8.0143 0.0000 0.0000
Cl 12.0214 2.0036 0.0000
Cl 8.0143 -4.0071 6.0107
Cl 6.0107 8.0143 -4.0071
Cl 6.0107 0.0000 4.0071
Cl 4.0071 6.0107 0.0000
Cl 8.0143 4.0071 2.0036
Cl -4.0071 4.0071 4.0071
Cl 0.0000 8.0143 0.0000
Cl 0.0000 0.0000 8.0143
Cl 4.0071 4.0071 4.0071
Cl 0.0000 4.0071 6.0107
Cl 4.0071 2.0036 8.0143
Cl 2.0036 8.0143 4.0071
Cl 2.0036 0.0000 12.0214
Cl 0.0000 12.0214 2.0036
Cl -4.0071 6.0107 8.0143
```

## Properties
N(E_F) = 29.17 states/eV/cell
Energy = -0.16223 Ry/atom
Formation energy without anion corrections = 0.010 eV per atom
Mass density = 6.69 g/cm³


(18)
Compound: AgHg2Cl
Source: Alexandria via LeMat-Bulk
Functional: PBE
Structure: relaxed

Geometry as extended XYZ:
```
4
Lattice="-1.7536 2.1357 7.2205 1.7536 -2.1357 7.2205 1.7536 2.1357 -7.2205" Properties=species:S:1:pos:R:3 pbc="T T T"
Ag 0.0000 0.0000 0.0000
Hg 1.7536 0.0000 2.7375
Hg 0.0000 2.1357 4.4830
Cl 0.0000 0.0000 7.2205
```

## Properties
N(E_F) = 0.09 states/eV/cell
Energy = -0.10898 Ry/atom
Formation energy without anion corrections = -0.157 eV per atom
Excess energy over the best structure of this formula in the dataset = 0.058 eV/atom
Mass density = 8.36 g/cm³


(19)
Compound: AgHgCl2
Source: Alexandria via LeMat-Bulk
Functional: PBE
Structure: relaxed

Geometry as extended XYZ:
```
4
Lattice="6.6777 -1.9531 0.0000 6.6777 1.9531 0.0000 -1.1197 0.0000 3.7424" Properties=species:S:1:pos:R:3 pbc="T T T"
Ag 0.0000 0.0000 0.0000
Hg 2.6510 0.0000 0.8441
Cl 6.3470 0.0000 1.9431
Cl 9.7460 0.0000 3.0002
```

## Properties
N(E_F) = 1.16 states/eV/cell
Energy = -0.14948 Ry/atom
Formation energy without anion corrections = -0.322 eV per atom
Excess energy over the best structure of this formula in the dataset = 0.018 eV/atom
Mass density = 6.45 g/cm³